First-principles (PBE-GGA) data for a relaxed structure of Pm2ErTmTl2, as listed in Alexandria.

Cell: 5.1139 6.8261 10.1259 Å, 90.00 90.00 90.00°
With the nearest neighbours (Å) after each atom.
Fractional positions:
Pm 0.0000 0.3291 0.1885  4 Tl 3.25-3.38, 2 Pm 3.49
Tl 0.0000 0.8002 0.1450  2 Tm 3.20, 4 Pm 3.25-3.38, 1 Er 3.37
Pm 0.0000 0.8291 0.8115  4 Tl 3.25-3.38, 2 Pm 3.49
Tl 0.5000 0.7175 0.6250  2 Tm 3.14-3.21, 4 Er 3.21-3.48, 2 Pm 3.27
Tl 0.5000 0.2175 0.3750  2 Tm 3.14-3.21, 4 Er 3.21-3.48, 2 Pm 3.27
Er 0.0000 0.4618 0.5402  5 Tl 3.21-3.48, 2 Er 3.51, 2 Tm 3.51
Pm 0.5000 0.0567 0.0418  5 Tl 3.27-3.59, 4 Pm 3.49-3.52
Tl 0.0000 0.3002 0.8550  2 Tm 3.20, 4 Pm 3.25-3.38, 1 Er 3.37
Tm 0.5000 0.6803 0.3162  4 Tl 3.14-3.21
Er 0.0000 0.9618 0.4598  5 Tl 3.21-3.48, 2 Er 3.51, 2 Tm 3.51
Pm 0.5000 0.5567 0.9582  5 Tl 3.27-3.59, 4 Pm 3.49-3.52
Tm 0.5000 0.1803 0.6838  4 Tl 3.14-3.21

Output
- crystal system = orthorhombic
- raw total energy (eV/cell) = -49.70
- mass density (g cm⁻³) = 9.72
- M_tot (μB/f.u.) = 0.00